Entry 1:
This record from the Alexandria database describes ScSi2As after structural relaxation. The functional is PBE.

Calculated volume, Å³ per atom: 18.31
Raw formation energy, eV/atom: -0.0340
ρ, g/cm³: 3.99
Raw total energy, eV/atom: -5.49
Spin magnetization, μB/f.u.: 0.00

a b c (Å): 3.1033 3.1033 7.6069
angles (deg): 90.00 90.00 90.00
Space group P4mm (No. 99)
Asymmetric unit:
Sc (0.0000, 0.0000, 0.0000)
Si (0.0000, 0.0000, 0.4204)
Si (0.5000, 0.5000, 0.2539)
As (0.5000, 0.5000, 0.7528)

=====

Entry 2:
This record from the Alexandria database describes MgBeB after structural relaxation. The functional is PBE.

Calculated volume, Å³ per atom: 11.41
Energy of formation from the pure elements, eV per atom: 0.0833
ρ, g/cm³: 2.14
Raw total energy, eV/atom: -3.92
Energy above the lowest structure with this stoichiometry, eV per atom: 0.080
Spin magnetization, μB/f.u.: 0.00

a b c (Å): 10.5808 3.0097 4.6409
angles (deg): 90.00 112.10 90.00
Space group C2/m (No. 12)
Asymmetric unit:
Mg (0.1218, 0.0000, 0.2971)
Be (0.0989, 0.5000, 0.7441)
B (0.2276, 0.0000, 0.9030)

=====

Entry 3:
This record from the Alexandria database describes Te2POs after structural relaxation. The functional is PBE.

Calculated volume, Å³ per atom: 19.41
Raw formation energy, eV/atom: 0.8591
ρ, g/cm³: 10.19
Raw total energy, eV/atom: -4.87
Energy above the lowest structure with this stoichiometry, eV per atom: 0.762
Spin magnetization, μB/f.u.: 0.00

a b c (Å): 6.7722 6.7722 6.7722
angles (deg): 90.00 90.00 90.00
Space group Fm-3m (No. 225)
Asymmetric unit:
Te (0.2500, 0.2500, 0.2500)
P (0.0000, 0.0000, 0.0000)
Os (0.0000, 0.0000, 0.5000)

=====

- Look up the calculated volume of the third one.
  19.41 Å³ per atom

=====

- Look up the calculated volume of the third one.
  19.41 Å³ per atom